No. 1
# ScSnO3 (PBE-GGA, optimized geometry)
# E_form (uncorrected) in kJ per mole of atoms: -148.2
# Total moment in Bohr magnetons per cell: 0.90
data_ScSnO3
_chemical_formula_sum 'Sc1 Sn1 O3'
_cell_length_a 4.025
_cell_length_b 4.025
_cell_length_c 4.025
_cell_angle_alpha 90.00
_cell_angle_beta 90.00
_cell_angle_gamma 90.00
_space_group_name_H-M_alt 'P m -3 m'
_space_group_IT_number 221
_space_group_name_Hall '-P 4 2 3'
loop_
_atom_site_label
_atom_site_type_symbol
_atom_site_fract_x
_atom_site_fract_y
_atom_site_fract_z
_atom_site_occupancy
Sc1 Sc 0.000 0.000 0.000 1
Sn1 Sn 0.500 0.500 0.500 1
O1 O 0.000 0.500 0.500 1



No. 2
# SmCd3Ag (PBE-GGA, optimized geometry)
# Total moment in Bohr magnetons per cell: 0.00
# E above lowest polymorph in meV per atom: 0.0
data_SmCd3Ag
_chemical_formula_sum 'Sm2 Cd6 Ag2'
_cell_length_a 6.751
_cell_length_b 5.005
_cell_length_c 6.897
_cell_angle_alpha 90.00
_cell_angle_beta 90.07
_cell_angle_gamma 90.00
_space_group_name_H-M_alt 'P 1 21/m 1'
_space_group_IT_number 11
_space_group_name_Hall '-P 2yb'
loop_
_atom_site_label
_atom_site_type_symbol
_atom_site_fract_x
_atom_site_fract_y
_atom_site_fract_z
_atom_site_occupancy
Sm1 Sm 0.240 0.250 0.249 1
Cd1 Cd 0.240 0.750 0.549 1
Cd2 Cd 0.244 0.750 0.950 1
Cd3 Cd 0.451 0.250 0.748 1
Ag1 Ag 0.048 0.250 0.752 1



No. 3
# ScU3Ga12 (PBE-GGA, optimized geometry)
# Total moment in Bohr magnetons per cell: 6.92
# Total energy in eV/atom: -5.087
data_ScU3Ga12
_chemical_formula_sum 'Sc1 U3 Ga12'
_cell_length_a 4.230
_cell_length_b 4.230
_cell_length_c 16.908
_cell_angle_alpha 90.00
_cell_angle_beta 90.00
_cell_angle_gamma 90.00
_space_group_name_H-M_alt 'P 4/m m m'
_space_group_IT_number 123
_space_group_name_Hall '-P 4 2'
loop_
_atom_site_label
_atom_site_type_symbol
_atom_site_fract_x
_atom_site_fract_y
_atom_site_fract_z
_atom_site_occupancy
Sc1 Sc 0.000 0.000 0.000 1
U1 U 0.000 0.000 0.245 1
U2 U 0.000 0.000 0.500 1
Ga1 Ga 0.000 0.500 0.119 1
Ga2 Ga 0.000 0.500 0.373 1
Ga3 Ga 0.500 0.500 0.000 1
Ga4 Ga 0.500 0.500 0.248 1
Ga5 Ga 0.500 0.500 0.500 1



No. 4
# CoW2I (PBE-GGA, optimized geometry)
# E_form (uncorrected) in kJ per mole of atoms: 111.9
# Total moment in Bohr magnetons per cell: 2.29
# E above lowest polymorph in meV per atom: 0.0
data_CoW2I
_chemical_formula_sum 'Co4 W8 I4'
_cell_length_a 6.345
_cell_length_b 6.345
_cell_length_c 6.345
_cell_angle_alpha 90.00
_cell_angle_beta 90.00
_cell_angle_gamma 90.00
_space_group_name_H-M_alt 'F m -3 m'
_space_group_IT_number 225
_space_group_name_Hall '-F 4 2 3'
loop_
_atom_site_label
_atom_site_type_symbol
_atom_site_fract_x
_atom_site_fract_y
_atom_site_fract_z
_atom_site_occupancy
Co1 Co 0.000 0.000 0.000 1
W1 W 0.250 0.250 0.250 1
I1 I 0.000 0.000 0.500 1



No. 5
# Tb2SiBr (PBE-GGA, optimized geometry)
# E_form (uncorrected) in kJ per mole of atoms: -95.6
# Total moment in Bohr magnetons per cell: 0.00
# E above lowest polymorph in meV per atom: 41.2
data_Tb2SiBr
_chemical_formula_sum 'Tb6 Si3 Br3'
_cell_length_a 4.1089
_cell_length_b 4.1089
_cell_length_c 22.1757
_cell_angle_alpha 90.00
_cell_angle_beta 90.00
_cell_angle_gamma 120.00
_space_group_name_H-M_alt 'R 3 m'
_space_group_IT_number 160
_space_group_name_Hall 'R 3 -2"'
loop_
_atom_site_label
_atom_site_type_symbol
_atom_site_fract_x
_atom_site_fract_y
_atom_site_fract_z
_atom_site_occupancy
Tb1 Tb 0.0000 0.0000 0.0000 1
Tb2 Tb 0.0000 0.0000 0.1986 1
Si1 Si 0.0000 0.0000 0.6003 1
Br1 Br 0.0000 0.0000 0.4296 1



No. 6
# KHfIn (PBE-GGA, optimized geometry)
# Total moment in Bohr magnetons per cell: 0.00
# E above lowest polymorph in meV per atom: 306.0
data_KHfIn
_chemical_formula_sum 'K4 Hf4 In4'
_cell_length_a 5.559
_cell_length_b 5.220
_cell_length_c 13.806
_cell_angle_alpha 90.00
_cell_angle_beta 90.00
_cell_angle_gamma 90.00
_space_group_name_H-M_alt 'P n m a'
_space_group_IT_number 62
_space_group_name_Hall '-P 2ac 2n'
loop_
_atom_site_label
_atom_site_type_symbol
_atom_site_fract_x
_atom_site_fract_y
_atom_site_fract_z
_atom_site_occupancy
K1 K 0.249 0.250 0.028 1
Hf1 Hf 0.003 0.250 0.750 1
In1 In 0.247 0.250 0.306 1



No. 7
# MgTi2Mo (PBE-GGA, optimized geometry)
# Total moment in Bohr magnetons per cell: 0.00
# Total energy in eV/atom: -6.954
data_MgTi2Mo
_chemical_formula_sum 'Mg1 Ti2 Mo1'
_cell_length_a 4.450
_cell_length_b 4.450
_cell_length_c 3.404
_cell_angle_alpha 90.00
_cell_angle_beta 90.00
_cell_angle_gamma 90.00
_space_group_name_H-M_alt 'P 4/m m m'
_space_group_IT_number 123
_space_group_name_Hall '-P 4 2'
loop_
_atom_site_label
_atom_site_type_symbol
_atom_site_fract_x
_atom_site_fract_y
_atom_site_fract_z
_atom_site_occupancy
Mg1 Mg 0.000 0.000 0.000 1
Ti1 Ti 0.000 0.500 0.500 1
Mo1 Mo 0.500 0.500 0.000 1



No. 8
# AlAgHg (PBE-GGA, optimized geometry)
# Total moment in Bohr magnetons per cell: 0.00
# E above lowest polymorph in meV per atom: 140.9
data_AlAgHg
_chemical_formula_sum 'Al4 Ag4 Hg4'
_cell_length_a 2.961
_cell_length_b 27.409
_cell_length_c 3.129
_cell_angle_alpha 90.00
_cell_angle_beta 90.00
_cell_angle_gamma 90.00
_space_group_name_H-M_alt 'C m c m'
_space_group_IT_number 63
_space_group_name_Hall '-C 2c 2'
loop_
_atom_site_label
_atom_site_type_symbol
_atom_site_fract_x
_atom_site_fract_y
_atom_site_fract_z
_atom_site_occupancy
Al1 Al 0.000 0.122 0.250 1
Ag1 Ag 0.000 0.457 0.750 1
Hg1 Hg 0.000 0.206 0.750 1



No. 9
# NdDyY6 (PBE-GGA, optimized geometry)
# Total moment in Bohr magnetons per cell: 0.00
# E above lowest polymorph in meV per atom: 0.0
data_NdDyY6
_chemical_formula_sum 'Nd3 Dy3 Y18'
_cell_length_a 9.6657
_cell_length_b 9.6657
_cell_length_c 9.9525
_cell_angle_alpha 90.00
_cell_angle_beta 90.00
_cell_angle_gamma 120.00
_space_group_name_H-M_alt 'R -3'
_space_group_IT_number 148
_space_group_name_Hall '-R 3'
loop_
_atom_site_label
_atom_site_type_symbol
_atom_site_fract_x
_atom_site_fract_y
_atom_site_fract_z
_atom_site_occupancy
Nd1 Nd 0.0000 0.0000 0.0000 1
Dy1 Dy 0.0000 0.0000 0.5000 1
Y1 Y 0.0009 0.7070 0.2512 1



No. 10
# Mg3Cr2H9 (PBE-GGA, optimized geometry)
# Total moment in Bohr magnetons per cell: 7.31
# Total energy in eV/atom: -3.930
data_Mg3Cr2H9
_chemical_formula_sum 'Mg18 Cr12 H54'
_cell_length_a 8.1133
_cell_length_b 8.1133
_cell_length_c 11.7239
_cell_angle_alpha 90.00
_cell_angle_beta 90.00
_cell_angle_gamma 120.00
_space_group_name_H-M_alt 'R -3 c'
_space_group_IT_number 167
_space_group_name_Hall '-R 3 2"c'
loop_
_atom_site_label
_atom_site_type_symbol
_atom_site_fract_x
_atom_site_fract_y
_atom_site_fract_z
_atom_site_occupancy
Mg1 Mg 0.0000 0.3328 0.2500 1
Cr1 Cr 0.0000 0.0000 0.1587 1
H1 H 0.0000 0.1720 0.7500 1
H2 H 0.0170 0.1924 0.4059 1



No. 11
# PmUC2 (PBE-GGA, optimized geometry)
# Total moment in Bohr magnetons per cell: 0.00
# E above lowest polymorph in meV per atom: 148.9
data_PmUC2
_chemical_formula_sum 'Pm3 U3 C6'
_cell_length_a 3.5829
_cell_length_b 3.5829
_cell_length_c 17.8728
_cell_angle_alpha 90.00
_cell_angle_beta 90.00
_cell_angle_gamma 120.00
_space_group_name_H-M_alt 'R 3 m'
_space_group_IT_number 160
_space_group_name_Hall 'R 3 -2"'
loop_
_atom_site_label
_atom_site_type_symbol
_atom_site_fract_x
_atom_site_fract_y
_atom_site_fract_z
_atom_site_occupancy
Pm1 Pm 0.0000 0.0000 0.0000 1
U1 U 0.0000 0.0000 0.1724 1
C1 C 0.0000 0.0000 0.5740 1
C2 C 0.0000 0.0000 0.7753 1



No. 12
# KZnPN3 (PBE-GGA, optimized geometry)
# E_form (uncorrected) in kJ per mole of atoms: 6.8
# Total moment in Bohr magnetons per cell: 1.28
data_KZnPN3
_chemical_formula_sum 'K4 Zn4 P4 N12'
_cell_length_a 5.449
_cell_length_b 10.124
_cell_length_c 5.130
_cell_angle_alpha 90.00
_cell_angle_beta 90.00
_cell_angle_gamma 90.00
_space_group_name_H-M_alt 'C m c m'
_space_group_IT_number 63
_space_group_name_Hall '-C 2c 2'
loop_
_atom_site_label
_atom_site_type_symbol
_atom_site_fract_x
_atom_site_fract_y
_atom_site_fract_z
_atom_site_occupancy
K1 K 0.000 0.242 0.250 1
Zn1 Zn 0.000 0.087 0.750 1
P1 P 0.000 0.441 0.750 1
N1 N 0.000 0.283 0.750 1
N2 N 0.213 0.500 0.000 1